Entry 1:
First-principles (PBE) data for a relaxed structure of Tm5Zn, as listed in Alexandria.

Cell: 5.8413 10.2393 5.8382 Å, 90.00 109.51 90.00°
Last column: nearest neighbours and their distance in Å.
Space group C2/m (No. 12)
Inequivalent atoms, fractional coordinates:
Tm 0.0000 0.0000 0.0000 x2  10 Tm 3.36-3.45, 2 Zn 3.37
Tm 0.0000 0.1647 0.5000 x4  9 Tm 3.37-3.41, 3 Zn 3.37-3.43
Tm 0.0000 0.3373 0.0000 x4  10 Tm 3.33-3.45, 2 Zn 3.36
Zn 0.0000 0.5000 0.5000 x2  12 Tm 3.36-3.43

Its mass density is 9.2 g/cm3. The formation enthalpy at 0 K comes out at 44 meV per atom. As for the crystal system: monoclinic. The total energy is -3.8945 eV/atom.

***

Entry 2:
First-principles (PBE) data for a relaxed structure of Tm3Zn, as listed in Alexandria.

Cell: 3.5106 3.5106 8.4783 Å, 90.00 90.00 90.00°
Last column: nearest neighbours and their distance in Å.
Space group P4/mmm (No. 123)
Inequivalent atoms, fractional coordinates:
Tm 0.0000 0.0000 0.0000 x1  12 Tm 3.51
Tm 0.5000 0.5000 0.2930 x2  4 Zn 3.04
Zn 0.0000 0.0000 0.5000 x1  8 Tm 3.04

Its mass density is 9.1 g/cm3. The formation enthalpy at 0 K comes out at -162 meV per atom. As for the crystal system: tetragonal. The total energy is -3.8345 eV/atom.

***

Entry 3:
First-principles (PBE) data for a relaxed structure of Tm5Zn2, as listed in Alexandria.

Cell: 6.9311 15.6239 6.6456 Å, 90.00 90.00 90.00°
Last column: nearest neighbours and their distance in Å.
Space group Ibam (No. 72)
Inequivalent atoms, fractional coordinates:
Tm 0.0000 0.0000 0.2500 x4  4 Zn 2.98, 6 Tm 3.30-3.32
Tm 0.0000 0.2285 0.2500 x8  2 Zn 2.95
Tm 0.1426 0.4095 0.0000 x8  1 Zn 2.79
Zn 0.2436 0.1157 0.0000 x8  5 Tm 2.79-2.98

Its mass density is 9.0 g/cm3. The formation enthalpy at 0 K comes out at -113 meV per atom. As for the crystal system: orthorhombic. The total energy is -3.6705 eV/atom.

***

Entry 4:
First-principles (PBE) data for a relaxed structure of Tm3Zn11, as listed in Alexandria.

Cell: 4.3871 8.7953 12.7410 Å, 90.00 90.00 90.00°
Last column: nearest neighbours and their distance in Å.
Space group Immm (No. 71)
Inequivalent atoms, fractional coordinates:
Tm 0.0000 0.0000 0.0000 x2  12 Zn 3.06-3.20
Tm 0.0000 0.0000 0.2907 x4  14 Zn 3.04-3.24
Zn 0.0000 0.1773 0.5000 x4  8 Zn 2.56-2.85
Zn 0.0000 0.2824 0.1401 x8  4 Zn 2.53-2.69
Zn 0.0000 0.3601 0.3441 x8  5 Zn 2.46-2.69
Zn 0.0000 0.5000 0.0000 x2  8 Zn 2.62-2.69

Its mass density is 8.3 g/cm3. The formation enthalpy at 0 K comes out at -310 meV per atom. As for the crystal system: orthorhombic. The total energy is -2.2688 eV/atom.